1.
Compound: GaSiTe
Source: Alexandria
Functional: PBE
Structure: optimized geometry

Summary:
total energy: -3.8490 eV/atom
magnetization: 0.0 μB/cell
SG: Cm, No. 8
energy relative to the elements, uncorrected: 0.01 eV/atom

Lattice parameters (Å, degrees): 7.2956 4.1396 11.2912 90.00 101.30 90.00
Closest atoms and distances in Å follow each position.
Element x y z (fractional)
Si (0.7070, 0.0000, 0.4831)  1 Si 2.31, 2 Ga 2.44
Si (0.7070, 0.5000, 0.9831)  1 Si 2.31, 2 Ga 2.44
Si (0.6464, 0.0000, 0.2747)  1 Si 2.31, 1 Ga 2.49
Si (0.6464, 0.5000, 0.7747)  1 Si 2.31, 1 Ga 2.49
Te (0.4814, 0.0000, 0.6442)  3 Si 2.68
Te (0.4814, 0.5000, 0.1442)  3 Si 2.68
Te (0.1415, 0.0000, 0.8747)  3 Ga 2.70-2.71
Te (0.1415, 0.5000, 0.3747)  3 Ga 2.70-2.71
Ga (0.9740, 0.0000, 0.2411)  1 Ga 2.47, 1 Si 2.49, 2 Te 2.71
Ga (0.9740, 0.5000, 0.7411)  1 Ga 2.47, 1 Si 2.49, 2 Te 2.71
Ga (0.8872, 0.0000, 0.0187)  2 Si 2.44, 1 Ga 2.47, 1 Te 2.70
Ga (0.8872, 0.5000, 0.5187)  2 Si 2.44, 1 Ga 2.47, 1 Te 2.70


2.
Compound: GaSiTe
Source: Alexandria
Functional: PBE
Structure: optimized geometry

Summary:
total energy: -3.8981 eV/atom
magnetization: 0.0 μB/cell
SG: Pm, No. 6
energy relative to the elements, uncorrected: -0.03 eV/atom

Lattice parameters (Å, degrees): 6.7033 4.0218 7.0545 90.00 116.83 90.00
Closest atoms and distances in Å follow each position.
Element x y z (fractional)
Si (0.5048, 0.0000, 0.8079)  2 Si 2.40, 2 Ga 2.57-2.59
Si (0.3811, 0.5000, 0.9068)  2 Si 2.40, 2 Te 2.53-2.55
Te (0.5566, 0.5000, 0.3120)  1 Si 2.55, 2 Ga 2.77
Te (0.9692, 0.5000, 0.8125)  1 Si 2.53, 2 Ga 2.73
Ga (0.3274, 0.0000, 0.4006)  1 Si 2.57, 1 Ga 2.68, 2 Te 2.77
Ga (0.9305, 0.0000, 0.0547)  1 Si 2.59, 1 Ga 2.68, 2 Te 2.73